# ReTc4Se (PBE-GGA, relaxed)
data_ReTc4Se
_symmetry_space_group_name_H-M 'F -4 3 m'
_symmetry_Int_Tables_number 216
_symmetry_space_group_name_Hall 'F -4 2 3'
_cell_length_a 7.2526
_cell_length_b 7.2526
_cell_length_c 7.2526
_cell_angle_alpha 90.00
_cell_angle_beta 90.00
_cell_angle_gamma 90.00
loop_
_atom_site_label
_atom_site_type_symbol
_atom_site_fract_x
_atom_site_fract_y
_atom_site_fract_z
Re1 Re 0.0000 0.0000 0.0000
Tc1 Tc 0.1247 0.1247 0.3753
Se1 Se 0.2500 0.2500 0.7500
# **Raw formation energy**: 0.741 eV per atom
# **Spin magnetization**: 0.000 Bohr magnetons per cell
# **Final energy**: -8.82 eV/atom
# **V**: 381.5 Å³ per cell